## a
{
  "formula": "InAsW2",
  "functional": "PBE",
  "state": "relaxed",
  "crystal_system": "orthorhombic",
  "magmom_total_mub_per_cell": 0.0,
  "cell": [[4.649, 0.000, 0.000], [0.000, 3.034, 0.014], [0.000, 1.492, 5.104]],
  "species": ["As", "In", "W", "W"],
  "fractional_positions": [[0.000, 0.327, 0.470], [0.500, 0.701, 0.724], [0.000, 0.034, 0.057], [0.500, 0.438, 0.248]]
}

---

## b
{
  "formula": "InAsW2",
  "functional": "PBE",
  "state": "relaxed",
  "crystal_system": "orthorhombic",
  "magmom_total_mub_per_cell": 0.0,
  "cell": [[-3.945, -3.560, -0.100], [1.277, -4.770, 1.965], [-0.263, 5.162, 1.237]],
  "species": ["W", "In", "As", "W"],
  "fractional_positions": [[0.252, 0.752, 0.500], [0.751, 0.251, 0.500], [0.478, 0.478, 0.000], [0.019, 0.019, 0.000]]
}

---

a has the most favorable energy; the next structure is 13.0 kJ/mol of atoms above.